# Sc5As

Sc5As after structural relaxation (PBE, the Alexandria database).

Unit cell a=5.574 b=5.574 c=4.862 alpha=90.00 beta=90.00 gamma=120.00
Positions (direct):
1 Sc 0.000 0.691 0.000
2 Sc 0.309 0.309 0.000
3 Sc 0.333 0.667 0.500
4 Sc 0.667 0.333 0.500
5 Sc 0.691 0.000 0.000
6 As 0.000 0.000 0.500

D(E_F), states/eV/atom: 1.433
Total magnetic moment, μB per atom: 0.0006
E_form, eV/atom: -0.292